Compound: Pt2SN
Source: Alexandria
Functional: PBE-GGA
Structure: relaxed

a b c (Å): 5.9416 5.9416 5.9416
angles (deg): 90.00 90.00 90.00
Space group Fm-3m (No. 225)
Unique sites:
Pt 0.2500 0.2500 0.2500
S 0.0000 0.0000 0.0000
N 0.0000 0.0000 0.5000

Properties
Total moment ... 0.00 μB/cell
Polymorph energy (0 for the lowest one) ... 2.572 eV/f.u.
Energy relative to the elements, uncorrected ... 1114 meV/atom


Compound: SbPtS2N
Source: Alexandria
Functional: PBE-GGA
Structure: relaxed

a b c (Å): 5.0365 5.0365 3.8033
angles (deg): 90.00 90.00 90.00
Space group P4/mmm (No. 123)
Unique sites:
Sb 0.0000 0.0000 0.0000
Pt 0.5000 0.5000 0.5000
S 0.0000 0.5000 0.0000
N 0.0000 0.0000 0.5000

Properties
Total moment ... 0.00 μB/cell
Polymorph energy (0 for the lowest one) ... 3.870 eV/f.u.
Energy relative to the elements, uncorrected ... 1302 meV/atom


Look up the polymorph energy (0 for the lowest one) of the second one. 3.870 eV/f.u.


Among the records above, which one has the lowest energy relative to the elements, uncorrected? Pt2SN


Look up the energy relative to the elements, uncorrected of the first one. 1114 meV/atom